No. 1
Computed, not measured: crystalline LuThZrPa at its relaxed geometry at the PBE-GGA level of DFT.

As for the total magnetization: 0.00 μB/cell. For the formation enthalpy at 0 K, the calculation gives 284 meV per atom.

a = 5.357 Å, b = 5.357 Å, c = 5.357 Å
α = 60.00°, β = 60.00°, γ = 60.00°
Fractional positions:
Lu  0.000  0.000  0.000
Th  0.750  0.750  0.750
Zr  0.250  0.250  0.250
Pa  0.500  0.500  0.500

***

No. 2
Computed, not measured: crystalline NaMg2Si2 at its relaxed geometry at the PBE-GGA level of DFT.

As for the total magnetization: 0.00 μB/cell. The calculation puts the energy relative to the elements, uncorrected at 16 kJ/mol of atoms.

a = 7.595 Å, b = 7.595 Å, c = 7.595 Å
α = 150.41°, β = 150.41°, γ = 42.34°
Fractional positions:
Na  0.000  0.000  0.000
Mg  0.388  0.388  0.000
Mg  0.612  0.612  0.000
Si  0.250  0.750  0.500
Si  0.750  0.250  0.500

***

No. 3
Computed, not measured: crystalline MnPd4Pt3 at its relaxed geometry at the PBE-GGA level of DFT.

As for the total magnetization: 4.65 μB/cell. For the formation enthalpy at 0 K, the calculation gives 115 meV per atom.

a = 11.066 Å, b = 11.066 Å, c = 4.556 Å
α = 97.54°, β = 97.54°, γ = 14.23°
Fractional positions:
Mn  0.000  0.000  0.000
Pd  0.101  0.101  0.730
Pd  0.169  0.169  0.272
Pd  0.831  0.831  0.728
Pd  0.899  0.899  0.270
Pt  0.290  0.290  0.216
Pt  0.500  0.500  0.500
Pt  0.710  0.710  0.784